Record 1
DFT (PBE) results for a relaxed CeTaH8Ru2 crystal.

Lattice parameters (Å, degrees): 6.1593 6.1593 6.1593 44.29 44.29 44.29
Positions (direct):
Ce: 0.0000 0.0000 0.0000
Ta: 0.5000 0.5000 0.5000
H: 0.1166 0.5501 0.5501
H: 0.3129 0.3129 0.3129
H: 0.4499 0.4499 0.8834
H: 0.4499 0.8834 0.4499
H: 0.5501 0.1166 0.5501
H: 0.5501 0.5501 0.1166
H: 0.6871 0.6871 0.6871
H: 0.8834 0.4499 0.4499
Ru: 0.2133 0.2133 0.2133
Ru: 0.7867 0.7867 0.7867

Output
For the total DFT energy (no corrections), the calculation gives -5.454 eV/atom. The mass density comes out at 8.5 g/cm³.

Record 2
DFT (PBE) results for a relaxed CeTlH6Ru crystal.

Lattice parameters (Å, degrees): 4.9099 4.9099 4.5360 90.00 90.00 120.00
Positions (direct):
Ce: 0.0000 0.0000 0.0000
Tl: 0.6667 0.3333 0.4042
H: 0.0204 0.5102 0.9146
H: 0.1521 0.3043 0.5028
H: 0.1521 0.8479 0.5028
H: 0.4898 0.5102 0.9146
H: 0.4898 0.9796 0.9146
H: 0.6957 0.8479 0.5028
Ru: 0.3333 0.6667 0.6845

Output
For the total DFT energy (no corrections), the calculation gives -4.404 eV/atom. The mass density comes out at 7.9 g/cm³.

Computed Fermi-level density of states, in the same sequence as the records: 9.4; 6.6 states/eV per cell.